# CoSi2Br2 PBE optimized geometry
data_CoSi2Br2
_chemical_formula_sum 'Co2 Si4 Br4'
_cell_length_a 6.3844
_cell_length_b 6.3844
_cell_length_c 5.4351
_cell_angle_alpha 90.00
_cell_angle_beta 90.00
_cell_angle_gamma 90.00
_space_group_name_H-M_alt 'P 1'
_space_group_IT_number 1
_space_group_name_Hall 'P 1'
loop_
_atom_site_label
_atom_site_type_symbol
_atom_site_fract_x
_atom_site_fract_y
_atom_site_fract_z
_atom_site_occupancy
Co1 Co 0.0000 0.0000 0.0000 1
Co2 Co 0.5000 0.5000 0.0000 1
Si1 Si 0.2293 0.2707 0.5000 1
Si2 Si 0.2707 0.7707 0.5000 1
Si3 Si 0.7293 0.2293 0.5000 1
Si4 Si 0.7707 0.7293 0.5000 1
Br1 Br 0.1785 0.3215 0.0000 1
Br2 Br 0.3215 0.8215 0.0000 1
Br3 Br 0.6785 0.1785 0.0000 1
Br4 Br 0.8215 0.6785 0.0000 1
# - Mass density: 4.1 g/cm³
# - Raw formation energy: 0.710 eV per atom
# - V: 222 Å³ per cell
# - E_tot: -35.493 eV/cell
# - E above lowest polymorph: 0.263 eV per atom
# - Space group: No. 127